Computed, not measured: a geometry-optimized RbPm2Cr2N6 structure at the PBE level of DFT.

Cell: 6.709 6.514 6.900 Å, 117.13 90.01 59.00°
Fractional coordinates of all 11 atoms:
1 Rb 0.500 0.000 0.500
2 Pm 0.818 0.363 0.800
3 Pm 0.182 0.637 0.200
4 Cr 0.117 0.765 0.815
5 Cr 0.883 0.235 0.185
6 N 0.391 0.627 0.864
7 N 0.018 0.373 0.136
8 N 0.079 0.842 0.606
9 N 0.982 0.627 0.864
10 N 0.921 0.158 0.394
11 N 0.609 0.373 0.136

- DOS(E_F) (states/eV per atom) = 0.3129
- uncorrected formation energy (meV per atom) = -538.5
- crystal system = monoclinic